1.
First-principles (PBE) data for crystalline Ca2AgHg8 at its relaxed geometry, as listed in Alexandria. Values from VASP.

The structure in Quantum ESPRESSO input format:
```
&SYSTEM
  ibrav = 0, nat = 11, ntyp = 3
/
ATOMIC_SPECIES
Ca 40.08 Ca.upf
Ag 107.87 Ag.upf
Hg 200.59 Hg.upf
CELL_PARAMETERS angstrom
4.831 0.000 0.000
0.000 4.831 0.000
0.000 0.000 12.117
ATOMIC_POSITIONS angstrom
Ca 0.000 0.000 2.327
Ca 0.000 0.000 9.791
Ag 0.000 0.000 6.059
Hg 0.000 2.416 0.000
Hg 0.000 2.416 4.449
Hg 0.000 2.416 7.668
Hg 2.416 0.000 0.000
Hg 2.416 0.000 4.449
Hg 2.416 0.000 7.668
Hg 2.416 2.416 2.239
Hg 2.416 2.416 9.879
```

As for the symmetry: P4/mmm, No. 123. The energy above the most stable polymorph in this dataset comes out at 0.000 eV/atom. The value obtained for the magnetization is 0.0 μB per formula unit. The calculated formation energy comes out at -0.262 eV/atom.

---

2.
First-principles (PBE) data for crystalline BeHgSeN2 at its relaxed geometry, as listed in Alexandria. Values from VASP.

The structure in Quantum ESPRESSO input format:
```
&SYSTEM
  ibrav = 0, nat = 5, ntyp = 4
/
ATOMIC_SPECIES
Be 9.01 Be.upf
Hg 200.59 Hg.upf
Se 78.96 Se.upf
N 14.01 N.upf
CELL_PARAMETERS angstrom
3.699 0.000 0.000
0.000 3.699 0.000
0.000 0.000 5.657
ATOMIC_POSITIONS angstrom
Be 0.000 0.000 0.000
Hg 1.849 1.849 2.828
Se 0.000 0.000 2.828
N 0.000 1.849 0.000
N 1.849 0.000 0.000
```

As for the energy relative to the elements, uncorrected: 6.057 eV/f.u. As for the symmetry: P4/mmm, No. 123. The energy above the most stable polymorph in this dataset comes out at 0.000 eV/atom. The value obtained for the magnetization is 2.6 μB per formula unit.